Entry 1:
Material: LaTmCo
Method: DFT, PBE-GGA
State: relaxed

## Properties
offset from the most stable computed form = 0.000 eV per atom
calculated formation energy = -0.15 eV/atom
calculated volume = 149.0 Å³/cell
N(E_F) = 0.82 states/eV/atom

Unit cell a=3.623 b=4.443 c=9.431 alpha=90.00 beta=101.06 gamma=90.00
Atoms (fractional coordinates):
La  0.183  0.250  0.368
La  0.817  0.750  0.632
Tm  0.435  0.250  0.868
Tm  0.565  0.750  0.132
Co  0.050  0.250  0.101
Co  0.950  0.750  0.899

Entry 2:
Material: CoP2
Method: DFT, PBE-GGA
State: relaxed

## Properties
calculated formation energy = -0.13 eV/atom
calculated volume = 40.3 Å³/cell
N(E_F) = 0.40 states/eV/atom

Unit cell a=3.234 b=5.079 c=5.079 alpha=28.90 beta=90.00 gamma=90.00
Atoms (fractional coordinates):
Co  0.000  0.000  0.000
P  0.500  0.603  0.603
P  0.500  0.833  0.833

Entry 3:
Material: Sr2LaCl
Method: DFT, PBE-GGA
State: relaxed

## Properties
offset from the most stable computed form = 0.225 eV per atom
calculated volume = 163.6 Å³/cell
N(E_F) = 1.36 states/eV/atom

Unit cell a=7.351 b=7.351 c=7.351 alpha=149.82 beta=124.13 gamma=64.81
Atoms (fractional coordinates):
Sr  0.000  0.000  0.000
Sr  0.689  0.189  0.500
La  0.390  0.390  0.000
Cl  0.198  0.698  0.500

Entry 4:
Material: K2CoPt
Method: DFT, PBE-GGA
State: relaxed

## Properties
offset from the most stable computed form = 0.550 eV per atom
calculated formation energy = 0.73 eV/atom
calculated volume = 88.5 Å³/cell
N(E_F) = 0.86 states/eV/atom

Unit cell a=5.900 b=5.900 c=3.019 alpha=90.08 beta=90.08 gamma=122.65
Atoms (fractional coordinates):
K  0.000  0.500  0.000
K  0.500  0.000  0.000
Co  0.000  0.000  0.500
Pt  0.500  0.500  0.500

- What is the N(E_F) in the third record?
  1.36 states/eV/atom

- Which of these has the lowest calculated volume?
  CoP2

- Which value of N(E_F) does entry 4 give?
  0.86 states/eV/atom